{
  "formula": "Th2P4Rh3",
  "functional": "GGA-PBE",
  "state": "optimized geometry",
  "lattice_angstrom": [[2.851, -7.402, 0.000], [2.851, 7.402, 0.000], [0.000, 0.000, 7.316]],
  "species": ["Th", "Th", "Th", "Th", "P", "P", "P", "P", "P", "P", "P", "P", "Rh", "Rh", "Rh", "Rh", "Rh", "Rh"],
  "frac_coords": [[0.115, 0.885, 0.917], [0.385, 0.615, 0.417], [0.615, 0.385, 0.583], [0.885, 0.115, 0.083], [0.184, 0.816, 0.535], [0.203, 0.297, 0.750], [0.297, 0.203, 0.250], [0.316, 0.684, 0.035], [0.684, 0.316, 0.965], [0.703, 0.797, 0.750], [0.797, 0.703, 0.250], [0.816, 0.184, 0.465], [0.000, 0.000, 0.500], [0.041, 0.459, 0.750], [0.459, 0.041, 0.250], [0.500, 0.500, 0.000], [0.541, 0.959, 0.750], [0.959, 0.541, 0.250]],
  "e_form_ev_per_atom": -1.00,
  "m_tot_mub_per_fu": 0.00,
  "spacegroup": "Cmce, No. 64"
}



{
  "formula": "NaAcAs2Pt2",
  "functional": "GGA-PBE",
  "state": "optimized geometry",
  "lattice_angstrom": [[4.307, 0.000, 0.000], [-2.154, 3.730, 0.000], [0.000, 0.000, 8.753]],
  "species": ["Na", "Ac", "As", "As", "Pt", "Pt"],
  "frac_coords": [[0.000, 0.000, 0.000], [0.000, 0.000, 0.500], [0.333, 0.667, 0.757], [0.667, 0.333, 0.243], [0.333, 0.667, 0.249], [0.667, 0.333, 0.751]],
  "e_form_ev_per_atom": -0.83,
  "m_tot_mub_per_fu": 0.00,
  "spacegroup": "P-3m1, No. 164"
}



{
  "formula": "PmZnBi",
  "functional": "GGA-PBE",
  "state": "optimized geometry",
  "lattice_angstrom": [[4.568, 0.000, 0.000], [-2.284, 3.956, 0.000], [0.000, 0.000, 4.470]],
  "species": ["Pm", "Zn", "Bi"],
  "frac_coords": [[0.000, 0.000, 0.000], [0.333, 0.667, 0.693], [0.667, 0.333, 0.452]],
  "e_form_ev_per_atom": -0.51,
  "m_tot_mub_per_fu": 0.00,
  "spacegroup": "P3m1, No. 156"
}



{
  "formula": "KBaSc2",
  "functional": "GGA-PBE",
  "state": "optimized geometry",
  "lattice_angstrom": [[3.518, -6.334, 0.000], [3.518, 6.334, 0.000], [-1.319, 0.000, 3.276]],
  "species": ["K", "Ba", "Sc", "Sc"],
  "frac_coords": [[0.000, 0.000, 0.000], [0.500, 0.500, 0.000], [0.000, 0.500, 0.500], [0.500, 0.000, 0.500]],
  "e_form_ev_per_atom": 0.63,
  "m_tot_mub_per_fu": 0.01,
  "spacegroup": "C2/m, No. 12"
}



{
  "formula": "LiNdZrTc",
  "functional": "GGA-PBE",
  "state": "optimized geometry",
  "lattice_angstrom": [[0.000, 3.444, 3.444], [3.444, 0.000, 3.444], [3.444, 3.444, 0.000]],
  "species": ["Li", "Nd", "Zr", "Tc"],
  "frac_coords": [[0.000, 0.000, 0.000], [0.750, 0.750, 0.750], [0.250, 0.250, 0.250], [0.500, 0.500, 0.500]],
  "e_form_ev_per_atom": 0.01,
  "m_tot_mub_per_fu": 0.00,
  "spacegroup": "F-43m, No. 216"
}



{
  "formula": "Ho3Tl2Te",
  "functional": "GGA-PBE",
  "state": "optimized geometry",
  "lattice_angstrom": [[-1.963, 3.095, 7.270], [1.963, -3.095, 7.270], [1.963, 3.095, -7.270]],
  "species": ["Ho", "Ho", "Ho", "Tl", "Tl", "Te"],
  "frac_coords": [[0.000, 0.000, 0.000], [0.338, 0.338, 0.000], [0.662, 0.662, 0.000], [0.170, 0.670, 0.500], [0.830, 0.330, 0.500], [0.500, 0.000, 0.500]],
  "raw_formation_energy_ev_per_atom": -0.554,
  "m_tot_mub_per_fu": 0.00,
  "spacegroup": "Immm, No. 71"
}



{
  "formula": "Ca4TlTe",
  "functional": "GGA-PBE",
  "state": "optimized geometry",
  "lattice_angstrom": [[0.000, 4.750, 4.750], [4.750, 0.000, 4.750], [4.750, 4.750, 0.000]],
  "species": ["Ca", "Ca", "Ca", "Ca", "Tl", "Te"],
  "frac_coords": [[0.125, 0.125, 0.125], [0.125, 0.125, 0.625], [0.125, 0.625, 0.125], [0.625, 0.125, 0.125], [0.500, 0.500, 0.500], [0.750, 0.750, 0.750]],
  "raw_formation_energy_ev_per_atom": -0.025,
  "m_tot_mub_per_fu": 0.00,
  "spacegroup": "F-43m, No. 216"
}



Copy entry 2 word for word.
{
  "formula": "NaAcAs2Pt2",
  "functional": "GGA-PBE",
  "state": "optimized geometry",
  "lattice_angstrom": [[4.307, 0.000, 0.000], [-2.154, 3.730, 0.000], [0.000, 0.000, 8.753]],
  "species": ["Na", "Ac", "As", "As", "Pt", "Pt"],
  "frac_coords": [[0.000, 0.000, 0.000], [0.000, 0.000, 0.500], [0.333, 0.667, 0.757], [0.667, 0.333, 0.243], [0.333, 0.667, 0.249], [0.667, 0.333, 0.751]],
  "e_form_ev_per_atom": -0.83,
  "m_tot_mub_per_fu": 0.00,
  "spacegroup": "P-3m1, No. 164"
}